The following is a DFT calculation (GGA-PBE) of a relaxed La7TcHg2 crystal.

a = 9.1142 Å, b = 9.9593 Å, c = 9.0754 Å
α = 70.58°, β = 59.86°, γ = 62.77°
Last column: nearest neighbours and their distance in Å.
Positions (direct):
La (0.3039, 0.4903, 0.1293)  1 Tc 2.86, 1 La 3.20
La (0.4233, 0.7500, 0.2500)  2 Hg 3.23, 2 La 3.55
La (0.2555, 0.9053, 0.9278)  2 Tc 3.21-3.49, 2 Hg 3.38-3.57, 2 La 3.52-3.55
La (0.9236, 0.0097, 0.3707)  1 Tc 2.86, 1 La 3.20
La (0.0764, 0.9903, 0.6293)  1 Tc 2.86, 1 La 3.20
La (0.9253, 0.6939, 0.0183)  1 Tc 2.68
La (0.5767, 0.2500, 0.7500)  2 Hg 3.23, 2 La 3.55
La (0.3625, 0.1939, 0.5183)  1 Tc 2.68
La (0.0886, 0.5947, 0.5722)  2 Tc 3.21-3.49, 2 Hg 3.38-3.57, 2 La 3.52-3.55
La (0.6961, 0.5097, 0.8707)  1 Tc 2.86, 1 La 3.20
La (0.0747, 0.3061, 0.9817)  1 Tc 2.68
La (0.6375, 0.8061, 0.4817)  1 Tc 2.68
La (0.7445, 0.0947, 0.0722)  2 Tc 3.21-3.49, 2 Hg 3.38-3.57, 2 La 3.52-3.55
La (0.9114, 0.4053, 0.4278)  2 Tc 3.21-3.49, 2 Hg 3.38-3.57, 2 La 3.52-3.55
Hg (0.6352, 0.3862, 0.2956)  7 La 3.23-3.57
Hg (0.3648, 0.6138, 0.7044)  7 La 3.23-3.57
Hg (0.6830, 0.8862, 0.7956)  7 La 3.23-3.57
Hg (0.3170, 0.1138, 0.2044)  7 La 3.23-3.57
Tc (0.0161, 0.2500, 0.7500)  4 La 2.68-2.86
Tc (0.9839, 0.7500, 0.2500)  4 La 2.68-2.86

Values from the calculation:
- DFT formation energy (eV per atom) = -0.197
- crystal system = monoclinic



The following is a DFT calculation (GGA-PBE) of a relaxed LaTc4Hg crystal.

a = 5.4122 Å, b = 5.4122 Å, c = 5.4122 Å
α = 60.00°, β = 60.00°, γ = 60.00°
Last column: nearest neighbours and their distance in Å.
Positions (direct):
Hg (0.7500, 0.7500, 0.7500)  12 Tc 3.17, 4 La 3.31
Tc (0.3763, 0.3763, 0.8712)  6 Tc 2.68-2.73
Tc (0.3763, 0.3763, 0.3763)  6 Tc 2.68-2.73
Tc (0.3763, 0.8712, 0.3763)  6 Tc 2.68-2.73
Tc (0.8712, 0.3763, 0.3763)  6 Tc 2.68-2.73
La (0.0000, 0.0000, 0.0000)  12 Tc 3.18, 4 Hg 3.31

Values from the calculation:
- DFT formation energy (eV per atom) = 0.331
- crystal system = cubic



The following is a DFT calculation (GGA-PBE) of a relaxed LaTc2Hg crystal.

a = 2.9705 Å, b = 2.9705 Å, c = 9.0441 Å
α = 90.00°, β = 90.00°, γ = 90.00°
Last column: nearest neighbours and their distance in Å.
Positions (direct):
Tc (0.0000, 0.0000, 0.4781)  4 Hg 2.94, 4 Tc 2.97, 4 La 3.23
Tc (0.0000, 0.0000, 0.0219)  4 Hg 2.94, 4 Tc 2.97, 4 La 3.23
La (0.5000, 0.5000, 0.7500)  4 La 2.97, 8 Tc 3.23
Hg (0.5000, 0.5000, 0.2500)  8 Tc 2.94, 4 Hg 2.97

Values from the calculation:
- DFT formation energy (eV per atom) = 0.790
- crystal system = tetragonal



The following is a DFT calculation (GGA-PBE) of a relaxed LaTc2Hg crystal.

a = 3.0575 Å, b = 3.0575 Å, c = 9.0418 Å
α = 90.00°, β = 90.00°, γ = 115.78°
Last column: nearest neighbours and their distance in Å.
Positions (direct):
Tc (0.0000, 0.0000, 0.5057)  2 La 2.74, 2 Hg 2.83, 4 Tc 3.06
Tc (0.0000, 0.0000, 0.9943)  2 La 2.74, 2 Hg 2.83, 4 Tc 3.06
Hg (0.5000, 0.5000, 0.2500)  4 Tc 2.83, 4 Hg 3.06
La (0.5000, 0.5000, 0.7500)  4 Tc 2.74, 4 La 3.06

Values from the calculation:
- DFT formation energy (eV per atom) = 0.663
- crystal system = orthorhombic



The following is a DFT calculation (GGA-PBE) of a relaxed LaTc2Hg crystal.

a = 4.3021 Å, b = 4.3021 Å, c = 10.5174 Å
α = 78.20°, β = 78.20°, γ = 90.00°
Last column: nearest neighbours and their distance in Å.
Positions (direct):
Tc (0.2211, 0.6250, 0.2500)  2 Tc 2.53, 2 La 2.82
Tc (0.8750, 0.7789, 0.7500)  2 Tc 2.53, 2 La 2.82
Tc (0.3750, 0.4711, 0.7500)  2 Tc 2.53, 2 La 2.82
Tc (0.5289, 0.1250, 0.2500)  2 Tc 2.53, 2 La 2.82
La (0.5000, 0.5000, 0.0000)  4 Tc 2.82, 4 Hg 3.04
La (0.2500, 0.7500, 0.5000)  4 Tc 2.82, 4 Hg 3.04
Hg (0.7500, 0.2500, 0.5000)  4 La 3.04, 4 Tc 3.12
Hg (0.0000, 0.0000, 0.0000)  4 La 3.04, 4 Tc 3.12

Values from the calculation:
- DFT formation energy (eV per atom) = 0.726
- crystal system = tetragonal



The following is a DFT calculation (GGA-PBE) of a relaxed La6TcHg2 crystal.

a = 7.3364 Å, b = 7.6024 Å, c = 10.7505 Å
α = 90.00°, β = 89.19°, γ = 90.00°
Last column: nearest neighbours and their distance in Å.
Positions (direct):
Tc (0.0000, 0.0000, 0.5000)  6 La 2.75-2.79
Tc (0.5000, 0.5000, 0.0000)  6 La 2.75-2.79
La (0.8006, 0.6958, 0.4515)  1 Tc 2.79
La (0.4017, 0.5045, 0.2499)  1 Tc 2.77
La (0.8016, 0.7035, 0.0465)  1 Tc 2.75
La (0.5983, 0.4955, 0.7501)  1 Tc 2.77
La (0.0983, 0.0045, 0.2501)  1 Tc 2.77
La (0.3006, 0.8042, 0.9515)  1 Tc 2.79
La (0.1984, 0.2965, 0.9535)  1 Tc 2.75
La (0.1994, 0.3042, 0.5485)  1 Tc 2.79
La (0.6994, 0.1958, 0.0485)  1 Tc 2.79
La (0.6984, 0.2035, 0.4535)  1 Tc 2.75
La (0.3016, 0.7965, 0.5465)  1 Tc 2.75
La (0.9017, 0.9955, 0.7499)  1 Tc 2.77
Hg (0.5318, 0.9216, 0.2575)  6 La 3.24-3.42
Hg (0.9682, 0.4216, 0.2425)  6 La 3.24-3.42
Hg (0.0318, 0.5784, 0.7575)  6 La 3.24-3.42
Hg (0.4682, 0.0784, 0.7425)  6 La 3.24-3.42

Values from the calculation:
- DFT formation energy (eV per atom) = -0.214
- crystal system = monoclinic



The following is a DFT calculation (GGA-PBE) of a relaxed LaTc2Hg crystal.

a = 4.8870 Å, b = 3.4663 Å, c = 5.3427 Å
α = 88.84°, β = 90.00°, γ = 90.00°
Last column: nearest neighbours and their distance in Å.
Positions (direct):
La (0.5000, 0.7500, 0.7500)  4 Hg 3.15-3.21, 8 Tc 3.17-3.23, 2 La 3.47
Tc (0.0000, 0.2707, 0.5398)  1 Tc 2.25
Tc (0.0000, 0.2293, 0.9602)  1 Tc 2.25
Hg (0.5000, 0.2500, 0.2500)  4 Tc 2.89, 4 La 3.15-3.21

Values from the calculation:
- DFT formation energy (eV per atom) = 0.467
- crystal system = monoclinic



The following is a DFT calculation (GGA-PBE) of a relaxed La4TcHg crystal.

a = 6.2782 Å, b = 6.2782 Å, c = 6.2782 Å
α = 60.00°, β = 60.00°, γ = 60.00°
Last column: nearest neighbours and their distance in Å.
Positions (direct):
La (0.3763, 0.3763, 0.3763)  6 La 3.11-3.17
La (0.3763, 0.3763, 0.8711)  6 La 3.11-3.17
La (0.3763, 0.8711, 0.3763)  6 La 3.11-3.17
La (0.8711, 0.3763, 0.3763)  6 La 3.11-3.17
Hg (0.0000, 0.0000, 0.0000)  12 La 3.68, 4 Tc 3.84
Tc (0.7500, 0.7500, 0.7500)  12 La 3.68, 4 Hg 3.84

Values from the calculation:
- excess energy over the best structure of this formula in the dataset (eV per formula unit) = 5.59
- DFT formation energy (eV per atom) = 0.704
- crystal system = cubic



The following is a DFT calculation (GGA-PBE) of a relaxed La8TcHg2 crystal.

a = 5.5815 Å, b = 7.0891 Å, c = 9.7145 Å
α = 109.31°, β = 106.70°, γ = 90.00°
Last column: nearest neighbours and their distance in Å.
Positions (direct):
La (0.0126, 0.7923, 0.0252)  3 La 3.14-3.40, 2 Tc 3.20, 1 Hg 3.26
La (0.2055, 0.2857, 0.4110)  3 Hg 3.21-3.57, 2 La 3.55
La (0.5871, 0.4181, 0.1743)  1 Tc 2.85
La (0.3471, 0.0431, 0.6942)  1 Tc 2.96, 1 Hg 3.30
La (0.9874, 0.2077, 0.9748)  3 La 3.14-3.40, 2 Tc 3.20, 1 Hg 3.26
La (0.4129, 0.5819, 0.8257)  1 Tc 2.85
La (0.6529, 0.9569, 0.3058)  1 Tc 2.96, 1 Hg 3.30
La (0.7945, 0.7143, 0.5890)  3 Hg 3.21-3.57, 2 La 3.55
Hg (0.8268, 0.2972, 0.6536)  9 La 3.21-3.57
Hg (0.1732, 0.7028, 0.3464)  9 La 3.21-3.57
Tc (0.5000, 0.0000, 0.0000)  4 La 2.85-2.96

Values from the calculation:
- DFT formation energy (eV per atom) = -0.163
- crystal system = monoclinic



The following is a DFT calculation (GGA-PBE) of a relaxed La5Tc2Hg2 crystal.

a = 7.7595 Å, b = 7.8388 Å, c = 9.4053 Å
α = 90.00°, β = 65.64°, γ = 90.00°
Last column: nearest neighbours and their distance in Å.
Positions (direct):
La (0.4412, 0.1831, 0.7520)  3 Tc 3.09-3.24, 3 Hg 3.30-3.33
La (0.0588, 0.6831, 0.2480)  3 Tc 3.09-3.24, 3 Hg 3.30-3.33
La (0.5588, 0.8169, 0.2480)  3 Tc 3.09-3.24, 3 Hg 3.30-3.33
La (0.3068, 0.6831, 0.7520)  3 Tc 3.09-3.24, 3 Hg 3.30-3.33
La (0.6932, 0.3169, 0.2480)  3 Tc 3.09-3.24, 3 Hg 3.30-3.33
La (0.0000, 0.0000, 0.0000)  4 Tc 3.04-3.30
La (0.5000, 0.5000, 0.0000)  4 Tc 3.04-3.30
La (0.9412, 0.3169, 0.7520)  3 Tc 3.09-3.24, 3 Hg 3.30-3.33
La (0.1932, 0.1831, 0.2480)  3 Tc 3.09-3.24, 3 Hg 3.30-3.33
La (0.8068, 0.8169, 0.7520)  3 Tc 3.09-3.24, 3 Hg 3.30-3.33
Tc (0.8794, 0.5965, 0.0000)  1 Tc 2.41
Tc (0.3794, 0.9035, 0.0000)  1 Tc 2.41
Tc (0.1206, 0.4035, 0.0000)  1 Tc 2.41
Tc (0.6206, 0.0965, 0.0000)  1 Tc 2.41
Hg (0.2235, 0.0000, 0.5530)  6 La 3.30-3.33
Hg (0.7235, 0.5000, 0.5530)  6 La 3.30-3.33
Hg (0.2765, 0.5000, 0.4470)  6 La 3.30-3.33
Hg (0.7765, 0.0000, 0.4470)  6 La 3.30-3.33

Values from the calculation:
- DFT formation energy (eV per atom) = -0.185
- crystal system = orthorhombic



The following is a DFT calculation (GGA-PBE) of a relaxed La4TcHg crystal.

a = 6.4728 Å, b = 9.3881 Å, c = 8.0363 Å
α = 115.19°, β = 99.96°, γ = 113.16°
Last column: nearest neighbours and their distance in Å.
Positions (direct):
La (0.7731, 0.7259, 0.6662)  2 Tc 2.87-2.92
La (0.2373, 0.6318, 0.8376)  2 Tc 3.10-3.20, 2 Hg 3.30-3.47
La (0.2269, 0.2741, 0.3338)  2 Tc 2.87-2.92
La (0.3931, 0.9403, 0.6662)  2 Tc 2.87-2.92
La (0.6069, 0.0597, 0.3338)  2 Tc 2.87-2.92
La (0.7627, 0.3682, 0.1624)  2 Tc 3.10-3.20, 2 Hg 3.30-3.47
La (0.1002, 0.2058, 0.8376)  2 Tc 3.10-3.20, 2 Hg 3.30-3.47
La (0.8998, 0.7942, 0.1624)  2 Tc 3.10-3.20, 2 Hg 3.30-3.47
Tc (0.7474, 0.9974, 0.9948)  8 La 2.87-3.20
Tc (0.2526, 0.0026, 0.0052)  8 La 2.87-3.20
Hg (0.3737, 0.6237, 0.2474)  8 La 3.30-3.47
Hg (0.6263, 0.3763, 0.7526)  8 La 3.30-3.47

Values from the calculation:
- excess energy over the best structure of this formula in the dataset (eV per formula unit) = 0.00
- DFT formation energy (eV per atom) = -0.228
- crystal system = monoclinic



The following is a DFT calculation (GGA-PBE) of a relaxed LaTc2Hg crystal.

a = 10.4208 Å, b = 10.4208 Å, c = 10.4208 Å
α = 16.33°, β = 16.33°, γ = 16.33°
Last column: nearest neighbours and their distance in Å.
Positions (direct):
Tc (0.5063, 0.5063, 0.5063)  3 Hg 2.93, 6 Tc 2.96, 3 La 3.25
Tc (0.9937, 0.9937, 0.9937)  3 Hg 2.93, 6 Tc 2.96, 3 La 3.25
La (0.7500, 0.7500, 0.7500)  6 La 2.96, 6 Tc 3.25
Hg (0.2500, 0.2500, 0.2500)  6 Tc 2.93, 6 Hg 2.96

Values from the calculation:
- DFT formation energy (eV per atom) = 0.864
- crystal system = trigonal